The following is a DFT calculation (GGA-PBE) of a relaxed structure of NdGd2Sn3PdPt2.

a b c (Å): 4.0753 13.1615 7.5746
angles (deg): 90.00 90.00 90.00
Space group Amm2 (No. 38)
One atom of each set of equivalent atoms:
Nd  0.0000  0.0000  0.0000 [2 per cell]
Gd  0.0000  0.2051  0.3834 [4 per cell]
Sn  0.5000  0.0000  0.3340 [2 per cell]
Sn  0.5000  0.1278  0.7145 [4 per cell]
Pd  0.0000  0.0000  0.5850 [2 per cell]
Pt  0.5000  0.1697  0.0895 [4 per cell]


The following is a DFT calculation (GGA-PBE) of a relaxed structure of Nd2GdSn3PdPt2.

a b c (Å): 4.0999 13.1827 7.6304
angles (deg): 90.00 90.00 90.00
Space group Amm2 (No. 38)
One atom of each set of equivalent atoms:
Nd  0.0000  0.2055  0.0000 [4 per cell]
Gd  0.0000  0.0000  0.3845 [2 per cell]
Sn  0.5000  0.0000  0.0488 [2 per cell]
Sn  0.5000  0.1262  0.6661 [4 per cell]
Pd  0.0000  0.0000  0.7911 [2 per cell]
Pt  0.5000  0.1636  0.2957 [4 per cell]


The following is a DFT calculation (GGA-PBE) of a relaxed structure of Nd2GdSn3Pd3.

a b c (Å): 4.1029 13.1917 7.6295
angles (deg): 90.00 90.00 90.00
Space group Amm2 (No. 38)
One atom of each set of equivalent atoms:
Nd  0.0000  0.2054  0.0000 [4 per cell]
Gd  0.0000  0.0000  0.3853 [2 per cell]
Sn  0.5000  0.0000  0.0478 [2 per cell]
Sn  0.5000  0.1260  0.6662 [4 per cell]
Pd  0.0000  0.0000  0.7908 [2 per cell]
Pd  0.5000  0.1638  0.2953 [4 per cell]


The following is a DFT calculation (GGA-PBE) of a relaxed structure of NdGd2Sn3Pd3.

a b c (Å): 4.0603 13.1825 7.5935
angles (deg): 90.00 90.00 90.00
Space group Amm2 (No. 38)
One atom of each set of equivalent atoms:
Nd  0.0000  0.0000  0.0000 [2 per cell]
Gd  0.0000  0.2041  0.3864 [4 per cell]
Sn  0.5000  0.0000  0.3359 [2 per cell]
Sn  0.5000  0.1279  0.7161 [4 per cell]
Pd  0.0000  0.0000  0.5868 [2 per cell]
Pd  0.5000  0.1693  0.0908 [4 per cell]


The following is a DFT calculation (GGA-PBE) of a relaxed structure of NdGdSn2Pd4.

a b c (Å): 4.6215 4.6215 9.1134
angles (deg): 90.00 90.00 120.00
Space group P-6m2 (No. 187)
One atom of each set of equivalent atoms:
Nd  0.0000  0.0000  0.0000 [1 per cell]
Gd  0.6667  0.3333  0.5000 [1 per cell]
Sn  0.3333  0.6667  0.2544 [2 per cell]
Pd  0.0000  0.0000  0.3376 [2 per cell]
Pd  0.6667  0.3333  0.1712 [2 per cell]


The following is a DFT calculation (GGA-PBE) of a relaxed structure of NdGdTl2Pd4.

a b c (Å): 4.6915 4.6915 9.0045
angles (deg): 90.00 90.00 120.00
Space group P-6m2 (No. 187)
One atom of each set of equivalent atoms:
Nd  0.0000  0.0000  0.0000 [1 per cell]
Gd  0.6667  0.3333  0.5000 [1 per cell]
Tl  0.3333  0.6667  0.2538 [2 per cell]
Pd  0.0000  0.0000  0.3417 [2 per cell]
Pd  0.6667  0.3333  0.1647 [2 per cell]


One value per record, in order, for total energy: -5.85, -5.85, -5.56, -5.56, -5.63, -5.00 eV per atom.